A relaxed structure of BiTe2Os. Source: the Alexandria database, functional PBE.

Cell and atoms, written as CIF:
```
data_BiTe2Os
_chemical_formula_sum 'Bi3 Te6 Os3'
_symmetry_space_group_name_H-M 'R -3 m'
_symmetry_Int_Tables_number 166
_symmetry_space_group_name_Hall '-R 3 2"'
_cell_length_a 3.1764
_cell_length_b 3.1764
_cell_length_c 38.0366
_cell_angle_alpha 90.00
_cell_angle_beta 90.00
_cell_angle_gamma 120.00
loop_
_atom_site_label
_atom_site_fract_x
_atom_site_fract_y
_atom_site_fract_z
Bi1 0.0000 0.0000 0.0000
Te1 0.0000 0.0000 0.4331
Os1 0.0000 0.0000 0.5000
```

The calculation puts the uncorrected energy at -55.1 eV for the cell shown. For the uncorrected formation energy, the calculation gives 0.759 eV/atom. The crystal system is trigonal. For the density of states at the Fermi level, the calculation gives 0.58 states/eV per atom.